Entry P
Below is a relaxed structure of CsPt2I, with properties calculated at the PBE level.

**Crystal system**: tetragonal

Cell lengths 5.674, 5.674, 9.564 Å; angles 72.75, 72.75, 90.00 degrees
Fractional coordinates of all 8 atoms:
I  0.250  0.750  0.500
I  0.500  0.500  0.000
Cs  0.750  0.250  0.500
Cs  0.000  0.000  0.000
Pt  0.875  0.625  0.750
Pt  0.375  0.625  0.250
Pt  0.375  0.125  0.250
Pt  0.375  0.625  0.750

---

Entry Q
Below is a relaxed structure of CsPt2I, with properties calculated at the PBE level.

**Crystal system**: cubic

Cell lengths 5.246, 5.246, 5.246 Å; angles 60.00, 60.00, 60.00 degrees
Fractional coordinates of all 4 atoms:
Pt  0.750  0.750  0.750
Pt  0.250  0.250  0.250
Cs  0.500  0.500  0.500
I  0.000  0.000  0.000

---

Which is the most stable structure? entry P is the most stable.

---

Entry P
Below is a relaxed structure of Cs2RbPtI6, with properties calculated at the PBE level.

**Crystal system**: trigonal

Cell lengths 8.218, 8.218, 18.221 Å; angles 76.97, 76.97, 60.00 degrees
Fractional coordinates of all 20 atoms:
I  0.631  0.631  0.591
I  0.287  0.810  0.092
I  0.810  0.287  0.092
I  0.369  0.369  0.409
I  0.810  0.810  0.092
I  0.190  0.190  0.908
I  0.631  0.148  0.591
I  0.713  0.190  0.908
I  0.369  0.852  0.409
I  0.852  0.369  0.409
I  0.148  0.631  0.591
I  0.190  0.713  0.908
Cs  0.139  0.139  0.583
Cs  0.693  0.693  0.922
Cs  0.861  0.861  0.417
Cs  0.307  0.307  0.078
Rb  0.416  0.416  0.751
Rb  0.584  0.584  0.249
Pt  0.000  0.000  0.000
Pt  0.500  0.500  0.500

---

Entry Q
Below is a relaxed structure of Cs2RbPtI6, with properties calculated at the PBE level.

**Crystal system**: tetragonal

Cell lengths 8.835, 8.835, 8.810 Å; angles 59.90, 59.90, 90.00 degrees
Fractional coordinates of all 10 atoms:
I  0.222  0.778  0.000
I  0.780  0.780  0.441
I  0.222  0.222  0.000
I  0.778  0.222  0.000
I  0.778  0.778  0.000
I  0.220  0.220  0.559
Cs  0.250  0.750  0.500
Cs  0.750  0.250  0.500
Rb  0.500  0.500  0.000
Pt  0.000  0.000  0.000

---

Which is the most stable structure? entry P is the most stable.

---

Entry P
Below is a relaxed structure of CsPu4I8, with properties calculated at the PBE level.

**Crystal system**: hexagonal

Cell lengths 8.410, 8.410, 20.124 Å; angles 90.00, 90.00, 120.00 degrees
Site moments in Bohr magnetons follow the coordinates.
Fractional coordinates of all 26 atoms:
Pu  0.490  0.510  0.250  5.74
Pu  0.490  0.980  0.250  5.74
Pu  0.510  0.020  0.750  5.74
Pu  0.000  0.000  0.750  5.72
Pu  0.000  0.000  0.250  5.72
Pu  0.980  0.490  0.750  5.74
Pu  0.020  0.510  0.250  5.74
Pu  0.510  0.490  0.750  5.74
Cs  0.000  0.000  0.000  0.00
Cs  0.000  0.000  0.500  0.00
I  0.661  0.831  0.648  -0.04
I  0.831  0.661  0.352  -0.04
I  0.339  0.169  0.148  -0.04
I  0.333  0.667  0.140  -0.04
I  0.667  0.333  0.860  -0.04
I  0.667  0.333  0.640  -0.04
I  0.169  0.831  0.852  -0.04
I  0.333  0.667  0.360  -0.04
I  0.169  0.339  0.852  -0.04
I  0.831  0.169  0.148  -0.04
I  0.339  0.169  0.352  -0.04
I  0.169  0.339  0.648  -0.04
I  0.831  0.661  0.148  -0.04
I  0.831  0.169  0.352  -0.04
I  0.661  0.831  0.852  -0.04
I  0.169  0.831  0.648  -0.04

---

Entry Q
Below is a relaxed structure of CsPu4I8, with properties calculated at the PBE level.

**Crystal system**: cubic

Cell lengths 9.618, 9.618, 9.618 Å; angles 60.00, 60.00, 60.00 degrees
Site moments in Bohr magnetons follow the coordinates.
Fractional coordinates of all 13 atoms:
Pu  0.367  0.367  0.900  -5.85
Pu  0.367  0.900  0.367  -5.85
Pu  0.900  0.367  0.367  -5.85
Pu  0.367  0.367  0.367  -5.85
I  0.131  0.606  0.131  0.04
I  0.604  0.604  0.604  0.03
I  0.606  0.131  0.131  0.04
I  0.604  0.189  0.604  0.03
I  0.131  0.131  0.131  0.04
I  0.189  0.604  0.604  0.03
I  0.131  0.131  0.606  0.04
I  0.604  0.604  0.189  0.03
Cs  0.750  0.750  0.750  0.00

---

Which is the most stable structure? entry P is the most stable.

---

Entry P
Below is a relaxed structure of CsPuI2, with properties calculated at the PBE level.

**Crystal system**: trigonal

Cell lengths 4.437, 4.437, 9.889 Å; angles 77.03, 77.03, 60.00 degrees
Site moments in Bohr magnetons follow the coordinates.
Fractional coordinates of all 4 atoms:
I  0.735  0.735  0.794  -0.03
I  0.265  0.265  0.206  -0.03
Cs  0.500  0.500  0.500  0.01
Pu  0.000  0.000  0.000  5.93

---

Entry Q
Below is a relaxed structure of CsPuI2, with properties calculated at the PBE level.

**Crystal system**: tetragonal

Cell lengths 4.035, 4.035, 9.143 Å; angles 90.00, 90.00, 90.00 degrees
Site moments in Bohr magnetons follow the coordinates.
Fractional coordinates of all 4 atoms:
I  0.000  0.000  0.792  0.03
I  0.000  0.000  0.208  0.03
Cs  0.500  0.500  0.500  -0.03
Pu  0.500  0.500  0.000  -6.03

---

Which is the most stable structure? entry P is the most stable.

---

Entry P
Below is a relaxed structure of Cs2PuI4, with properties calculated at the PBE level.

**Crystal system**: tetragonal

Cell lengths 6.260, 6.260, 10.676 Å; angles 72.95, 72.95, 90.00 degrees
Site moments in Bohr magnetons follow the coordinates.
Fractional coordinates of all 7 atoms:
I  0.000  0.500  0.000  -0.03
I  0.835  0.835  0.329  -0.01
I  0.165  0.165  0.671  -0.01
I  0.500  0.000  0.000  -0.03
Pu  0.000  0.000  0.000  5.75
Cs  0.361  0.361  0.277  0.00
Cs  0.639  0.639  0.723  0.00

---

Entry Q
Below is a relaxed structure of Cs2PuI4, with properties calculated at the PBE level.

**Crystal system**: tetragonal

Cell lengths 8.065, 8.065, 8.065 Å; angles 106.18, 111.14, 111.14 degrees
Site moments in Bohr magnetons follow the coordinates.
Fractional coordinates of all 7 atoms:
Cs  0.500  0.750  0.250  0.00
Cs  0.500  0.250  0.750  0.00
I  0.000  0.756  0.244  -0.02
I  0.488  0.244  0.244  -0.02
I  0.512  0.756  0.756  -0.02
I  0.000  0.244  0.756  -0.02
Pu  0.000  0.000  0.000  5.82

---

Which is the most stable structure? entry P is the most stable.

---

Entry P
Below is a relaxed structure of Cs2RbI, with properties calculated at the PBE level.

**Crystal system**: tetragonal

Cell lengths 11.765, 11.765, 9.831 Å; angles 53.25, 53.25, 90.00 degrees
Fractional coordinates of all 8 atoms:
Cs  0.875  0.960  0.750
Cs  0.375  0.290  0.750
Cs  0.710  0.125  0.250
Cs  0.040  0.625  0.250
Rb  0.250  0.750  0.500
Rb  0.500  0.500  0.000
I  0.750  0.250  0.500
I  0.000  0.000  0.000

---

Entry Q
Below is a relaxed structure of Cs2RbI, with properties calculated at the PBE level.

**Crystal system**: tetragonal

Cell lengths 5.635, 7.187, 7.187 Å; angles 90.00, 90.00, 90.00 degrees
Fractional coordinates of all 4 atoms:
I  0.500  0.000  0.000
Cs  0.000  0.000  0.500
Cs  0.000  0.500  0.000
Rb  0.500  0.500  0.500

---

Entry R
Below is a relaxed structure of Cs2RbI, with properties calculated at the PBE level.

**Crystal system**: cubic

Cell lengths 7.505, 7.505, 7.505 Å; angles 60.00, 60.00, 60.00 degrees
Fractional coordinates of all 4 atoms:
Rb  0.000  0.000  0.000
Cs  0.750  0.750  0.750
Cs  0.250  0.250  0.250
I  0.500  0.500  0.500

---

Entry S
Below is a relaxed structure of Cs2RbI, with properties calculated at the PBE level.

**Crystal system**: trigonal

Cell lengths 5.349, 5.349, 13.823 Å; angles 78.84, 78.84, 60.00 degrees
Fractional coordinates of all 4 atoms:
Cs  0.059  0.059  0.823
Cs  0.274  0.274  0.178
I  0.667  0.667  0.000
Rb  0.500  0.500  0.499

---

Which is the most stable structure? entry S is the most stable.

---

Entry P
Below is a relaxed structure of Cs2RbI, with properties calculated at the PBE level.

**Crystal system**: tetragonal

Cell lengths 4.827, 4.827, 12.823 Å; angles 90.00, 90.00, 90.00 degrees
Fractional coordinates of all 4 atoms:
I  0.500  0.500  0.000
Cs  0.000  0.000  0.176
Cs  0.000  0.000  0.824
Rb  0.500  0.500  0.500

---

Entry Q
Below is a relaxed structure of Cs2RbI, with properties calculated at the PBE level.

**Crystal system**: trigonal

Cell lengths 5.342, 5.342, 13.824 Å; angles 78.86, 78.86, 60.00 degrees
Fractional coordinates of all 4 atoms:
Rb  0.500  0.500  0.500
Cs  0.726  0.726  0.822
Cs  0.274  0.274  0.178
I  0.000  0.000  0.000

---

Which is the most stable structure? entry Q is the most stable.

---

Entry P
Below is a relaxed structure of CsRb2I2, with properties calculated at the PBE level.

**Crystal system**: tetragonal

Cell lengths 6.793, 6.793, 8.943 Å; angles 67.68, 67.68, 90.00 degrees
Fractional coordinates of all 5 atoms:
I  0.750  0.250  0.500
I  0.250  0.750  0.500
Rb  0.667  0.667  0.665
Rb  0.333  0.333  0.335
Cs  0.000  0.000  0.000

---

Entry Q
Below is a relaxed structure of CsRb2I2, with properties calculated at the PBE level.

**Crystal system**: tetragonal

Cell lengths 11.084, 11.084, 4.616 Å; angles 90.00, 90.00, 90.00 degrees
Fractional coordinates of all 10 atoms:
Cs  0.500  0.500  0.000
Cs  0.000  0.000  0.000
Rb  0.634  0.134  0.000
Rb  0.366  0.866  0.000
Rb  0.134  0.366  0.000
Rb  0.866  0.634  0.000
I  0.652  0.848  0.500
I  0.152  0.652  0.500
I  0.348  0.152  0.500
I  0.848  0.348  0.500

---

Which is the most stable structure? entry P is the most stable.